(1)
# ZrTe2NO, relaxed, DFT GGA-PBE
# * spin magnetization: 0.0 μB/f.u.
# * density of states at the Fermi level: 2.11 states/eV per cell
# * energy relative to the elements, uncorrected: 0.58 eV/atom
# * energy relative to the lowest polymorph listed for this composition: 0 meV per atom
data_ZrTe2NO
_chemical_formula_sum 'Zr1 Te2 N1 O1'
_cell_length_a 4.6532
_cell_length_b 4.6532
_cell_length_c 4.0710
_cell_angle_alpha 90.00
_cell_angle_beta 90.00
_cell_angle_gamma 90.00
_space_group_name_H-M_alt 'P 4/m m m'
_space_group_IT_number 123
_space_group_name_Hall '-P 4 2'
loop_
_atom_site_label
_atom_site_fract_x
_atom_site_fract_y
_atom_site_fract_z
Zr1 0.0000 0.0000 0.0000
Te1 0.0000 0.5000 0.5000
N1 0.5000 0.5000 0.0000
O1 0.5000 0.5000 0.5000

***

(2)
# ZrTeNO2, relaxed, DFT GGA-PBE
# * spin magnetization: 1.4 μB/f.u.
# * density of states at the Fermi level: 4.23 states/eV per cell
# * energy relative to the elements, uncorrected: -0.10 eV/atom
data_ZrTeNO2
_chemical_formula_sum 'Zr1 Te1 N1 O2'
_cell_length_a 4.1008
_cell_length_b 4.1008
_cell_length_c 4.2973
_cell_angle_alpha 90.00
_cell_angle_beta 90.00
_cell_angle_gamma 90.00
_space_group_name_H-M_alt 'P 4/m m m'
_space_group_IT_number 123
_space_group_name_Hall '-P 4 2'
loop_
_atom_site_label
_atom_site_fract_x
_atom_site_fract_y
_atom_site_fract_z
Zr1 0.0000 0.0000 0.0000
Te1 0.5000 0.5000 0.5000
N1 0.5000 0.5000 0.0000
O1 0.0000 0.5000 0.5000